No. 1
# ZrAlSi

Crystalline ZrAlSi at its relaxed geometry (PBEsol, Alexandria via LeMat-Bulk).

symmetry	No. 189
density of states at the Fermi level	1.82	states/eV/f.u.
final energy	-62.34	eV for the cell shown
raw formation energy	-0.617	eV per atom

a = 6.772 Å, b = 6.772 Å, c = 3.753 Å
α = 90.00°, β = 90.00°, γ = 120.00°
Fractional coordinates of all 9 atoms:
1 Zr 0.000 0.393 0.000
2 Zr 0.393 0.000 0.000
3 Zr 0.607 0.607 0.000
4 Al 0.000 0.737 0.500
5 Al 0.263 0.263 0.500
6 Al 0.737 0.000 0.500
7 Si 0.000 0.000 0.000
8 Si 0.333 0.667 0.500
9 Si 0.667 0.333 0.500


No. 2
# AlAsAuSe2

Crystalline AlAsAuSe2 at its relaxed geometry (PBEsol, Alexandria via LeMat-Bulk).

symmetry	No. 123
density of states at the Fermi level	4.60	states/eV/f.u.
final energy	-18.18	eV for the cell shown
raw formation energy	0.529	eV per atom

a = 4.754 Å, b = 4.754 Å, c = 4.815 Å
α = 90.00°, β = 90.00°, γ = 90.00°
Fractional coordinates of all 5 atoms:
1 Al 0.000 0.000 0.000
2 As 0.000 0.000 0.500
3 Au 0.500 0.500 0.500
4 Se 0.000 0.500 0.000
5 Se 0.500 0.000 0.000


No. 3
# PrMn2Si2

Crystalline PrMn2Si2 at its relaxed geometry (PBEsol, Alexandria via LeMat-Bulk).

symmetry	No. 139
density of states at the Fermi level	2.93	states/eV/f.u.
final energy	-77.92	eV for the cell shown
raw formation energy	-0.552	eV per atom

a = 3.935 Å, b = 3.935 Å, c = 10.402 Å
α = 90.00°, β = 90.00°, γ = 90.00°
Fractional coordinates of all 10 atoms:
1 Pr 0.000 0.000 0.000
2 Pr 0.500 0.500 0.500
3 Mn 0.000 0.500 0.250
4 Mn 0.000 0.500 0.750
5 Mn 0.500 0.000 0.250
6 Mn 0.500 0.000 0.750
7 Si 0.000 0.000 0.374
8 Si 0.000 0.000 0.626
9 Si 0.500 0.500 0.126
10 Si 0.500 0.500 0.874


No. 4
# MnAlPt2

Crystalline MnAlPt2 at its relaxed geometry (PBEsol, Alexandria via LeMat-Bulk).

symmetry	No. 225
density of states at the Fermi level	2.01	states/eV/f.u.
final energy	-121.08	eV for the cell shown
formation energy	-0.623	eV per atom

a = 6.116 Å, b = 6.116 Å, c = 6.116 Å
α = 90.00°, β = 90.00°, γ = 90.00°
Fractional coordinates of all 16 atoms:
1 Mn 0.000 0.000 0.000
2 Mn 0.000 0.500 0.500
3 Mn 0.500 0.000 0.500
4 Mn 0.500 0.500 0.000
5 Al 0.000 0.000 0.500
6 Al 0.000 0.500 0.000
7 Al 0.500 0.000 0.000
8 Al 0.500 0.500 0.500
9 Pt 0.250 0.250 0.250
10 Pt 0.250 0.250 0.750
11 Pt 0.250 0.750 0.250
12 Pt 0.250 0.750 0.750
13 Pt 0.750 0.250 0.250
14 Pt 0.750 0.250 0.750
15 Pt 0.750 0.750 0.250
16 Pt 0.750 0.750 0.750


No. 5
# Si4TeIr

Crystalline Si4TeIr at its relaxed geometry (PBEsol, Alexandria via LeMat-Bulk).

symmetry	No. 216
density of states at the Fermi level	3.26	states/eV/f.u.
final energy	-32.16	eV for the cell shown
raw formation energy	0.696	eV per atom

a = 5.150 Å, b = 5.150 Å, c = 5.150 Å
α = 60.00°, β = 60.00°, γ = 60.00°
Fractional coordinates of all 6 atoms:
1 Si 0.124 0.124 0.124
2 Si 0.124 0.124 0.627
3 Si 0.124 0.627 0.124
4 Si 0.627 0.124 0.124
5 Te 0.500 0.500 0.500
6 Ir 0.750 0.750 0.750


No. 6
# Al2TcW

Crystalline Al2TcW at its relaxed geometry (PBEsol, Alexandria via LeMat-Bulk).

symmetry	No. 99
density of states at the Fermi level	1.02	states/eV/f.u.
E above lowest polymorph	0	meV per atom
final energy	-34.44	eV for the cell shown
formation energy	-0.297	eV per atom

a = 3.117 Å, b = 3.117 Å, c = 5.951 Å
α = 90.00°, β = 90.00°, γ = 90.00°
Fractional coordinates of all 4 atoms:
1 Al 0.000 0.000 0.000
2 Al 0.500 0.500 0.260
3 Tc 0.000 0.000 0.496
4 W 0.500 0.500 0.744